one:
Material: V4O5F7
Method: DFT, GGA-PBEsol
State: optimized geometry

Cell: 5.142 5.310 7.284 Å, 92.19 90.00 90.00°
Last column: magnetic moment on the atom in μB.
Element x y z (fractional)
O 0.791 0.711 0.713  -0.03
V 0.971 0.040 0.240  0.60
V 0.472 0.531 0.245  0.95
V 0.472 0.469 0.755  0.95
O 0.234 0.724 0.210  -0.08
O 0.927 0.000 0.000  -0.05
F 0.727 0.213 0.700  0.00
O 0.234 0.276 0.790  -0.08
F 0.411 0.500 0.500  0.02
F 0.084 0.000 0.500  0.01
O 0.791 0.289 0.287  -0.03
F 0.727 0.787 0.300  0.00
V 0.971 0.960 0.760  0.60
F 0.603 0.500 0.000  0.01
F 0.293 0.217 0.204  0.01
F 0.293 0.783 0.796  0.01

Symmetry: P2, No. 3


two:
Material: V4O5F7
Method: DFT, GGA-PBEsol
State: optimized geometry

Cell: 5.229 5.235 8.911 Å, 105.60 90.34 120.16°
Last column: magnetic moment on the atom in μB.
Element x y z (fractional)
O 0.610 0.755 0.350  -0.09
F 0.420 0.260 0.091  0.01
V 0.951 0.986 0.986  0.57
V 0.724 0.507 0.263  0.76
F 0.103 0.759 0.850  0.02
F 0.954 0.760 0.128  0.00
O 0.901 0.255 0.601  -0.12
F 0.433 0.751 0.627  0.00
O 0.598 0.747 0.904  -0.05
F 0.100 0.747 0.404  0.01
V 0.213 0.465 0.747  0.94
O 0.065 0.241 0.873  -0.08
F 0.916 0.254 0.158  0.01
V 0.532 0.014 0.490  0.99
F 0.401 0.245 0.654  0.01
O 0.578 0.254 0.373  -0.09

Symmetry: P1, No. 1


three:
Material: V4O5F7
Method: DFT, GGA-PBEsol
State: optimized geometry

Cell: 5.183 5.206 9.084 Å, 106.58 90.00 119.86°
Last column: magnetic moment on the atom in μB.
Element x y z (fractional)
F 0.054 0.495 0.754  0.01
V 0.802 0.789 0.130  0.62
F 0.559 0.505 0.246  0.01
O 0.938 0.000 0.000  -0.07
F 0.824 0.449 0.008  0.00
O 0.883 0.541 0.491  -0.09
F 0.375 0.551 0.992  0.00
V 0.014 0.211 0.870  0.62
V 0.217 0.722 0.612  0.97
F 0.657 0.043 0.238  0.00
O 0.342 0.459 0.509  -0.09
O 0.120 0.966 0.257  -0.07
V 0.494 0.278 0.388  0.97
F 0.452 0.000 0.500  0.02
F 0.615 0.957 0.762  0.00
O 0.154 0.034 0.743  -0.07

Symmetry: C2, No. 5


Which of them is most stable? Easy: two.


one:
Material: V3OF11
Method: DFT, GGA-PBEsol
State: optimized geometry

Cell: 5.039 5.242 14.809 Å, 79.70 89.81 88.78°
Last column: magnetic moment on the atom in μB.
Element x y z (fractional)
F 0.806 0.961 0.698  0.02
F 0.410 0.402 0.116  0.00
V 0.000 0.000 0.000  0.00
F 0.680 0.465 0.693  0.02
V 0.992 0.669 0.667  0.94
F 0.892 0.758 0.553  -0.03
F 0.194 0.039 0.302  0.02
V 0.492 0.169 0.666  0.95
F 0.320 0.535 0.307  0.02
F 0.900 0.425 0.221  -0.04
F 0.179 0.376 0.634  0.02
F 0.091 0.980 0.116  0.00
V 0.500 0.500 0.000  0.00
F 0.603 0.242 0.554  -0.03
F 0.748 0.733 0.036  0.00
F 0.388 0.102 0.779  -0.04
O 0.248 0.754 0.989  0.00
F 0.305 0.875 0.640  0.02
V 0.508 0.831 0.334  0.95
F 0.100 0.575 0.779  -0.04
F 0.108 0.242 0.447  -0.03
F 0.695 0.125 0.360  0.02
F 0.909 0.020 0.884  0.00
F 0.821 0.624 0.366  0.02
O 0.752 0.246 0.011  0.00
F 0.612 0.898 0.221  -0.04
F 0.397 0.758 0.446  -0.03
F 0.590 0.598 0.884  0.00
F 0.252 0.267 0.964  0.00
V 0.008 0.331 0.333  0.94

Symmetry: P-1, No. 2


two:
Material: V3OF11
Method: DFT, GGA-PBEsol
State: optimized geometry

Cell: 5.046 5.383 14.570 Å, 99.50 89.92 89.91°
Last column: magnetic moment on the atom in μB.
Element x y z (fractional)
F 0.695 0.185 0.971  0.02
F 0.286 0.451 0.364  0.01
F 0.196 0.320 0.028  0.02
V 0.979 0.615 0.331  0.24
V 0.502 0.146 0.334  0.78
V 0.001 0.002 0.000  0.97
F 0.414 0.131 0.218  -0.03
F 0.267 0.125 0.699  0.01
O 0.790 0.366 0.308  -0.04
F 0.622 0.861 0.772  -0.03
V 0.501 0.502 0.000  0.97
V 0.952 0.338 0.669  0.25
F 0.764 0.046 0.632  0.00
F 0.911 0.717 0.448  0.00
F 0.117 0.633 0.223  0.00
F 0.811 0.693 0.972  0.02
F 0.176 0.659 0.698  0.01
F 0.310 0.813 0.029  0.02
F 0.120 0.977 0.887  -0.04
F 0.396 0.800 0.548  -0.03
F 0.913 0.041 0.116  -0.04
F 0.414 0.471 0.884  -0.04
F 0.618 0.531 0.113  -0.04
F 0.218 0.962 0.361  0.02
F 0.684 0.530 0.631  0.00
F 0.620 0.200 0.447  -0.03
F 0.150 0.318 0.565  0.00
V 0.461 0.837 0.666  0.84
O 0.907 0.384 0.779  -0.03
F 0.710 0.848 0.304  0.02

Symmetry: P1, No. 1


Which of them is most stable? Easy: two.


one:
Material: WO2F2
Method: DFT, GGA-PBEsol
State: optimized geometry

Cell: 3.855 3.855 9.236 Å, 90.00 90.00 90.09°
Element x y z (fractional)
O 0.277 0.225 0.750
W 0.315 0.685 0.750
W 0.685 0.315 0.250
F 0.749 0.251 0.449
F 0.251 0.749 0.949
O 0.723 0.775 0.250
F 0.749 0.251 0.051
F 0.251 0.749 0.551
O 0.225 0.277 0.250
O 0.775 0.723 0.750

Symmetry: Cmcm, No. 63


two:
Material: WO2F2
Method: DFT, GGA-PBEsol
State: optimized geometry

Cell: 3.525 3.525 3.928 Å, 90.00 90.00 90.00°
Last column: magnetic moment on the atom in μB.
Element x y z (fractional)
O 0.000 0.500 0.000  -0.14
O 0.500 0.000 0.000  -0.14
F 0.000 0.000 0.000  -0.06
F 0.000 0.000 0.500  0.01
W 0.500 0.500 0.500  2.06

Symmetry: P4/mmm, No. 123


Which of them is most stable? Easy: one.


one:
Material: Y6O5F8
Method: DFT, GGA-PBEsol
State: optimized geometry

Cell: 5.424 5.430 9.007 Å, 90.00 72.48 90.01°
Element x y z (fractional)
O 0.085 0.500 0.829
Y 0.596 0.713 0.346
Y 0.771 0.287 0.995
F 0.346 0.000 0.308
O 0.254 0.500 0.492
Y 0.915 0.703 0.670
F 0.624 0.000 0.751
F 0.768 0.000 0.465
F 0.415 0.500 0.170
Y 0.415 0.297 0.670
Y 0.234 0.713 0.995
O 0.915 0.500 0.170
F 0.915 0.000 0.171
F 0.062 0.000 0.876
O 0.575 0.500 0.849
Y 0.059 0.287 0.346
F 0.483 0.000 0.033
O 0.744 0.500 0.511
F 0.205 0.000 0.590

Symmetry: C222, No. 21


two:
Material: Y6O5F8
Method: DFT, GGA-PBEsol
State: optimized geometry

Cell: 5.411 5.453 8.614 Å, 73.97 88.34 89.25°
Element x y z (fractional)
F 0.447 0.830 0.118
F 0.460 0.129 0.813
F 0.506 0.295 0.515
Y 0.783 0.089 0.345
O 0.976 0.425 0.162
O 0.990 0.076 0.835
Y 0.218 0.211 0.021
Y 0.189 0.585 0.332
F 0.615 0.396 0.961
O 0.972 0.914 0.175
O 0.001 0.257 0.501
F 0.083 0.577 0.834
Y 0.781 0.406 0.681
F 0.463 0.816 0.438
O 0.983 0.747 0.514
Y 0.228 0.951 0.646
F 0.426 0.280 0.236
F 0.599 0.757 0.728
Y 0.788 0.749 0.994

Symmetry: P1, No. 1


Which of them is most stable? Easy: two.